# 1
Entry from the Alexandria database: crystalline ZrTiCoW at its relaxed geometry (GGA-PBE).

- Total magnetic moment: 0.0 μB per cell
- DFT total energy: -9.15 eV/atom
- E_form: -24.7 meV/atom

```
data_ZrTiCoW
_symmetry_space_group_name_H-M 'F -4 3 m'
_symmetry_Int_Tables_number 216
_symmetry_space_group_name_Hall 'F -4 2 3'
_cell_length_a 6.359
_cell_length_b 6.359
_cell_length_c 6.359
_cell_angle_alpha 90.00
_cell_angle_beta 90.00
_cell_angle_gamma 90.00
loop_
_atom_site_label
_atom_site_type_symbol
_atom_site_fract_x
_atom_site_fract_y
_atom_site_fract_z
Zr1 Zr 0.000 0.000 0.000
Ti1 Ti 0.000 0.000 0.500
Co1 Co 0.250 0.250 0.750
W1 W 0.250 0.250 0.250
```



# 2
Entry from the Alexandria database: crystalline Pm5Dy2Ho5 at its relaxed geometry (GGA-PBE).

- Total magnetic moment: 0.0 μB per cell
- DFT total energy: -4.64 eV/atom
- E_form: 17.6 meV/atom

```
data_Pm5Dy2Ho5
_symmetry_space_group_name_H-M 'C 1 2/m 1'
_symmetry_Int_Tables_number 12
_symmetry_space_group_name_Hall '-C 2y'
_cell_length_a 15.176
_cell_length_b 5.054
_cell_length_c 11.334
_cell_angle_alpha 90.00
_cell_angle_beta 116.54
_cell_angle_gamma 90.00
loop_
_atom_site_label
_atom_site_type_symbol
_atom_site_fract_x
_atom_site_fract_y
_atom_site_fract_z
Pm1 Pm 0.000 0.000 0.000
Pm2 Pm 0.084 0.000 0.751
Pm3 Pm 0.166 0.000 0.499
Dy1 Dy 0.083 0.500 0.249
Ho1 Ho 0.000 0.500 0.500
Ho2 Ho 0.168 0.500 0.001
Ho3 Ho 0.249 0.000 0.248
```



# 3
Entry from the Alexandria database: crystalline Al2V7Cr2 at its relaxed geometry (GGA-PBE).

- Total magnetic moment: 0.0 μB per cell
- DFT total energy: -8.16 eV/atom
- E_form: 69.4 meV/atom

```
data_Al2V7Cr2
_symmetry_space_group_name_H-M 'I m m 2'
_symmetry_Int_Tables_number 44
_symmetry_space_group_name_Hall 'I 2 -2'
_cell_length_a 2.983
_cell_length_b 13.177
_cell_length_c 7.787
_cell_angle_alpha 90.00
_cell_angle_beta 90.00
_cell_angle_gamma 90.00
loop_
_atom_site_label
_atom_site_type_symbol
_atom_site_fract_x
_atom_site_fract_y
_atom_site_fract_z
Al1 Al 0.000 0.000 0.000
Al2 Al 0.000 0.500 0.180
V1 V 0.000 0.164 0.253
V2 V 0.000 0.167 0.744
V3 V 0.000 0.331 0.495
V4 V 0.000 0.500 0.799
Cr1 Cr 0.000 0.330 0.990
```